# 1
Here is an optimized crystal structure of SbTeSe2 from Alexandria via LeMat-Bulk. Energies are from GGA-PBE.

a = 5.152 Å, b = 5.152 Å, c = 5.152 Å
α = 60.00°, β = 60.00°, γ = 60.00°
Fractional positions:
Sb: 0.000 0.000 0.000
Te: 0.250 0.250 0.250
Se: 0.500 0.500 0.500
Se: 0.750 0.750 0.750

formation energy without anion corrections: 1.328 eV/f.u.
electronic total energy: -3.23 eV/atom
magnetization: 0.00 μB per cell
polymorph energy (0 for the lowest one): 391 meV/atom

***

# 2
Here is an optimized crystal structure of SbTeSe2 from Alexandria via LeMat-Bulk. Energies are from GGA-PBE.

a = 9.309 Å, b = 9.309 Å, c = 9.309 Å
α = 24.60°, β = 24.60°, γ = 24.60°
Fractional positions:
Sb: 0.000 0.000 0.000
Te: 0.500 0.500 0.500
Se: 0.398 0.398 0.398
Se: 0.602 0.602 0.602

formation energy without anion corrections: 0.041 eV/f.u.
electronic total energy: -3.55 eV/atom
magnetization: 0.00 μB per cell
polymorph energy (0 for the lowest one): 69 meV/atom

***

# 3
Here is an optimized crystal structure of SbTeSe2 from Alexandria via LeMat-Bulk. Energies are from GGA-PBE.

a = 5.917 Å, b = 5.917 Å, c = 5.917 Å
α = 142.76°, β = 102.92°, γ = 88.87°
Fractional positions:
Sb: 0.000 0.000 0.000
Te: 0.500 0.500 0.000
Se: 0.244 0.744 0.500
Se: 0.756 0.256 0.500

formation energy without anion corrections: 0.703 eV/f.u.
electronic total energy: -3.38 eV/atom
magnetization: 0.00 μB per cell
polymorph energy (0 for the lowest one): 234 meV/atom

***

# 4
Here is an optimized crystal structure of SbTeSe2 from Alexandria via LeMat-Bulk. Energies are from GGA-PBE.

a = 3.790 Å, b = 3.790 Å, c = 9.073 Å
α = 90.00°, β = 90.00°, γ = 90.00°
Fractional positions:
Sb: 0.000 0.000 0.000
Te: 0.500 0.500 0.622
Se: 0.000 0.000 0.530
Se: 0.500 0.500 0.117

formation energy without anion corrections: 0.412 eV/f.u.
electronic total energy: -3.46 eV/atom
magnetization: 0.00 μB per cell
polymorph energy (0 for the lowest one): 162 meV/atom

***

# 5
Here is an optimized crystal structure of SbTeSe2 from Alexandria via LeMat-Bulk. Energies are from GGA-PBE.

a = 5.188 Å, b = 4.289 Å, c = 5.923 Å
α = 90.00°, β = 98.55°, γ = 90.00°
Fractional positions:
Sb: 0.000 0.000 0.000
Te: 0.407 0.500 0.205
Se: 0.612 0.500 0.844
Se: 0.856 0.000 0.389

formation energy without anion corrections: -0.118 eV/f.u.
electronic total energy: -3.59 eV/atom
magnetization: 0.00 μB per cell
polymorph energy (0 for the lowest one): 29 meV/atom

***

# 6
Here is an optimized crystal structure of Th6Sb3TeSe2 from Alexandria via LeMat-Bulk. Energies are from GGA-PBE.

a = 7.664 Å, b = 7.664 Å, c = 7.535 Å
α = 99.73°, β = 99.73°, γ = 119.79°
Fractional positions:
Th: 0.071 0.419 0.761
Th: 0.224 0.224 0.226
Th: 0.419 0.071 0.761
Th: 0.581 0.929 0.239
Th: 0.776 0.776 0.774
Th: 0.929 0.581 0.239
Sb: 0.000 0.000 0.500
Sb: 0.343 0.657 0.500
Sb: 0.657 0.343 0.500
Te: 0.500 0.500 0.000
Se: 0.170 0.830 0.000
Se: 0.830 0.170 0.000

formation energy without anion corrections: -13.562 eV/f.u.
electronic total energy: -6.71 eV/atom
magnetization: 0.00 μB per cell

***

# 7
Here is an optimized crystal structure of TiSbTe2Se from Alexandria via LeMat-Bulk. Energies are from GGA-PBE.

a = 5.178 Å, b = 5.178 Å, c = 5.408 Å
α = 90.00°, β = 90.00°, γ = 90.00°
Fractional positions:
Ti: 0.000 0.000 0.000
Sb: 0.000 0.000 0.500
Te: 0.000 0.500 0.000
Te: 0.500 0.000 0.000
Se: 0.500 0.500 0.500

formation energy without anion corrections: 0.811 eV/f.u.
electronic total energy: -4.19 eV/atom
magnetization: 0.00 μB per cell
polymorph energy (0 for the lowest one): 0 meV/atom

***

# 8
Here is an optimized crystal structure of TiSbTe2Se from Alexandria via LeMat-Bulk. Energies are from GGA-PBE.

a = 5.351 Å, b = 5.351 Å, c = 5.373 Å
α = 90.00°, β = 90.00°, γ = 90.00°
Fractional positions:
Ti: 0.000 0.000 0.000
Sb: 0.500 0.500 0.000
Te: 0.000 0.500 0.500
Te: 0.500 0.000 0.500
Se: 0.500 0.500 0.500

formation energy without anion corrections: 3.757 eV/f.u.
electronic total energy: -3.61 eV/atom
magnetization: 0.13 μB per cell
polymorph energy (0 for the lowest one): 589 meV/atom

***

# 9
Here is an optimized crystal structure of TlSbTe2Se from Alexandria via LeMat-Bulk. Energies are from GGA-PBE.

a = 5.582 Å, b = 5.582 Å, c = 5.502 Å
α = 90.00°, β = 90.00°, γ = 90.00°
Fractional positions:
Tl: 0.000 0.000 0.000
Sb: 0.500 0.500 0.000
Te: 0.000 0.500 0.500
Te: 0.500 0.000 0.500
Se: 0.500 0.500 0.500

formation energy without anion corrections: 1.544 eV/f.u.
electronic total energy: -2.94 eV/atom
magnetization: 0.00 μB per cell
polymorph energy (0 for the lowest one): 0 meV/atom

***

# 10
Here is an optimized crystal structure of TlSbTe2Se from Alexandria via LeMat-Bulk. Energies are from GGA-PBE.

a = 5.668 Å, b = 5.668 Å, c = 5.813 Å
α = 90.00°, β = 90.00°, γ = 90.00°
Fractional positions:
Tl: 0.000 0.000 0.000
Sb: 0.000 0.000 0.500
Te: 0.000 0.500 0.000
Te: 0.500 0.000 0.000
Se: 0.500 0.500 0.500

formation energy without anion corrections: 4.725 eV/f.u.
electronic total energy: -2.31 eV/atom
magnetization: 0.45 μB per cell
polymorph energy (0 for the lowest one): 636 meV/atom

***

# 11
Here is an optimized crystal structure of TlSb2TeSe from Alexandria via LeMat-Bulk. Energies are from GGA-PBE.

a = 5.524 Å, b = 5.524 Å, c = 5.595 Å
α = 90.00°, β = 90.00°, γ = 90.00°
Fractional positions:
Tl: 0.000 0.000 0.000
Sb: 0.000 0.500 0.500
Sb: 0.500 0.000 0.500
Te: 0.500 0.500 0.000
Se: 0.500 0.500 0.500

formation energy without anion corrections: 2.001 eV/f.u.
electronic total energy: -3.05 eV/atom
magnetization: 0.76 μB per cell
polymorph energy (0 for the lowest one): 0 meV/atom

***

# 12
Here is an optimized crystal structure of TlSb2TeSe from Alexandria via LeMat-Bulk. Energies are from GGA-PBE.

a = 5.728 Å, b = 5.728 Å, c = 5.617 Å
α = 90.00°, β = 90.00°, γ = 90.00°
Fractional positions:
Tl: 0.000 0.000 0.000
Sb: 0.000 0.500 0.000
Sb: 0.500 0.000 0.000
Te: 0.000 0.000 0.500
Se: 0.500 0.500 0.500

formation energy without anion corrections: 4.996 eV/f.u.
electronic total energy: -2.45 eV/atom
magnetization: 0.00 μB per cell
polymorph energy (0 for the lowest one): 599 meV/atom

***

Please write out number 11 again, unchanged.
Here is an optimized crystal structure of TlSb2TeSe from Alexandria via LeMat-Bulk. Energies are from GGA-PBE.

a = 5.524 Å, b = 5.524 Å, c = 5.595 Å
α = 90.00°, β = 90.00°, γ = 90.00°
Fractional positions:
Tl: 0.000 0.000 0.000
Sb: 0.000 0.500 0.500
Sb: 0.500 0.000 0.500
Te: 0.500 0.500 0.000
Se: 0.500 0.500 0.500

formation energy without anion corrections: 2.001 eV/f.u.
electronic total energy: -3.05 eV/atom
magnetization: 0.76 μB per cell
polymorph energy (0 for the lowest one): 0 meV/atom